First-principles (PBE-GGA) data for a relaxed structure of LiPrIn2Au4, as listed in Alexandria via LeMat-Bulk.

a b c (Å): 4.7580 4.7580 9.0027
angles (deg): 74.68 74.68 60.00
Fractional positions:
Li1 0.5000 0.5000 0.5000
Pr1 0.0000 0.0000 0.0000
In1 0.7570 0.7570 0.7289
In2 0.2430 0.2430 0.2711
Au1 0.3931 0.3931 0.8208
Au2 0.8682 0.8682 0.3955
Au3 0.1318 0.1318 0.6045
Au4 0.6069 0.6069 0.1792

Results
Calculated density: 11.5 g cm⁻³
Formation enthalpy at 0 K: -0.53 eV/atom
Energy: -3.692 eV/atom